Density functional theory data (GGA-PBE) for crystalline Er2Tm2Sc3 at its relaxed geometry. Values from VASP.

Computed properties:
Space-group type = I2_13 (199)
Polymorph energy (0 for the lowest one) = 1.432 eV/f.u.
Total magnetization = 0.00 Bohr magnetons per cell

```
&SYSTEM
  ibrav = 0, nat = 14, ntyp = 3
/
ATOMIC_SPECIES
Er 167.26 Er.upf
Tm 168.93 Tm.upf
Sc 44.96 Sc.upf
ATOMIC_POSITIONS crystal
Er 0.0000 0.9158 0.5000
Er 0.5000 0.0000 0.9158
Er 0.5842 0.5842 0.5842
Er 0.9158 0.5000 0.0000
Tm 0.0000 0.3173 0.5000
Tm 0.1827 0.1827 0.1827
Tm 0.3173 0.5000 0.0000
Tm 0.5000 0.0000 0.3173
Sc 0.0555 0.7500 0.8055
Sc 0.2500 0.6945 0.4445
Sc 0.4445 0.2500 0.6945
Sc 0.6945 0.4445 0.2500
Sc 0.7500 0.8055 0.0555
Sc 0.8055 0.0555 0.7500
CELL_PARAMETERS angstrom
-4.6235 4.6235 4.6235
4.6235 -4.6235 4.6235
4.6235 4.6235 -4.6235
```



Density functional theory data (GGA-PBE) for crystalline ErTm2Sc4 at its relaxed geometry. Values from VASP.

Computed properties:
Space-group type = Cmmm (65)
Polymorph energy (0 for the lowest one) = 0.048 eV/f.u.
Total magnetization = 0.00 Bohr magnetons per cell

```
&SYSTEM
  ibrav = 0, nat = 7, ntyp = 3
/
ATOMIC_SPECIES
Er 167.26 Er.upf
Tm 168.93 Tm.upf
Sc 44.96 Sc.upf
ATOMIC_POSITIONS crystal
Er 0.0000 0.0000 0.0000
Tm 0.3031 0.3031 0.5000
Tm 0.6969 0.6969 0.5000
Sc 0.0000 0.5000 0.0000
Sc 0.2701 0.7299 0.5000
Sc 0.5000 0.0000 0.0000
Sc 0.7299 0.2701 0.5000
CELL_PARAMETERS angstrom
5.2490 -5.5031 0.0000
5.2490 5.5031 0.0000
0.0000 0.0000 3.3544
```



Density functional theory data (GGA-PBE) for crystalline Er2Tm7Sc3 at its relaxed geometry. Values from VASP.

Computed properties:
Space-group type = Cmmm (65)
Total magnetization = 0.33 Bohr magnetons per cell

```
&SYSTEM
  ibrav = 0, nat = 12, ntyp = 3
/
ATOMIC_SPECIES
Er 167.26 Er.upf
Tm 168.93 Tm.upf
Sc 44.96 Sc.upf
ATOMIC_POSITIONS crystal
Er 0.1749 0.8251 0.0000
Er 0.8251 0.1749 0.0000
Tm 0.0000 0.0000 0.0000
Tm 0.0905 0.9095 0.5000
Tm 0.2720 0.7280 0.0000
Tm 0.4289 0.5711 0.0000
Tm 0.5711 0.4289 0.0000
Tm 0.7280 0.2720 0.0000
Tm 0.9095 0.0905 0.5000
Sc 0.3510 0.6490 0.5000
Sc 0.5000 0.5000 0.5000
Sc 0.6490 0.3510 0.5000
CELL_PARAMETERS angstrom
2.7991 -18.0770 0.0000
2.7991 18.0770 0.0000
0.0000 0.0000 3.4877
```



Density functional theory data (GGA-PBE) for crystalline ErTm2Sc5 at its relaxed geometry. Values from VASP.

Computed properties:
Space-group type = Fmm2 (42)
Polymorph energy (0 for the lowest one) = 0.000 eV/f.u.
Total magnetization = 0.02 Bohr magnetons per cell

```
&SYSTEM
  ibrav = 0, nat = 8, ntyp = 3
/
ATOMIC_SPECIES
Er 167.26 Er.upf
Tm 168.93 Tm.upf
Sc 44.96 Sc.upf
ATOMIC_POSITIONS crystal
Er 0.0000 0.0000 0.0000
Tm 0.4240 0.9152 0.0848
Tm 0.9152 0.4240 0.5760
Sc 0.0057 0.5015 0.9943
Sc 0.4169 0.4169 0.0831
Sc 0.4988 0.4988 0.5012
Sc 0.5015 0.0057 0.4985
Sc 0.9169 0.9169 0.5831
CELL_PARAMETERS angstrom
0.0000 5.3028 5.9019
3.4095 0.0000 5.9019
3.4095 5.3028 0.0000
```



Density functional theory data (GGA-PBE) for crystalline Er12TmSc6 at its relaxed geometry. Values from VASP.

Computed properties:
Space-group type = Im-3 (204)
Polymorph energy (0 for the lowest one) = 0.000 eV/f.u.
Total magnetization = 0.00 Bohr magnetons per cell

```
&SYSTEM
  ibrav = 0, nat = 19, ntyp = 3
/
ATOMIC_SPECIES
Er 167.26 Er.upf
Tm 168.93 Tm.upf
Sc 44.96 Sc.upf
ATOMIC_POSITIONS crystal
Er 0.0713 0.2661 0.8052
Er 0.1948 0.4609 0.2661
Er 0.1948 0.9287 0.7339
Er 0.2661 0.1948 0.4609
Er 0.2661 0.8052 0.0713
Er 0.4609 0.2661 0.1948
Er 0.5391 0.7339 0.8052
Er 0.7339 0.1948 0.9287
Er 0.7339 0.8052 0.5391
Er 0.8052 0.0713 0.2661
Er 0.8052 0.5391 0.7339
Er 0.9287 0.7339 0.1948
Tm 0.0000 0.0000 0.0000
Sc 0.1381 0.5000 0.6381
Sc 0.3619 0.8619 0.5000
Sc 0.5000 0.3619 0.8619
Sc 0.5000 0.6381 0.1381
Sc 0.6381 0.1381 0.5000
Sc 0.8619 0.5000 0.3619
CELL_PARAMETERS angstrom
-5.1804 5.1804 5.1804
5.1804 -5.1804 5.1804
5.1804 5.1804 -5.1804
```



Density functional theory data (GGA-PBE) for crystalline Er5TmSc5 at its relaxed geometry. Values from VASP.

Computed properties:
Space-group type = P-6m2 (187)
Total magnetization = 2.40 Bohr magnetons per cell

```
&SYSTEM
  ibrav = 0, nat = 11, ntyp = 3
/
ATOMIC_SPECIES
Er 167.26 Er.upf
Tm 168.93 Tm.upf
Sc 44.96 Sc.upf
ATOMIC_POSITIONS crystal
Er 0.0000 0.0000 0.0000
Er 0.3333 0.6667 0.3180
Er 0.3333 0.6667 0.6820
Er 0.6667 0.3333 0.1602
Er 0.6667 0.3333 0.8398
Tm 0.3333 0.6667 0.0000
Sc 0.0000 0.0000 0.2685
Sc 0.0000 0.0000 0.7315
Sc 0.3301 0.1650 0.5000
Sc 0.8350 0.1650 0.5000
Sc 0.8350 0.6699 0.5000
CELL_PARAMETERS angstrom
5.7549 0.0000 0.0000
-2.8774 4.9839 0.0000
0.0000 0.0000 11.1568
```



Density functional theory data (GGA-PBE) for crystalline Er2TmSc7 at its relaxed geometry. Values from VASP.

Computed properties:
Space-group type = Cmmm (65)
Polymorph energy (0 for the lowest one) = 0.901 eV/f.u.
Total magnetization = 0.02 Bohr magnetons per cell

```
&SYSTEM
  ibrav = 0, nat = 10, ntyp = 3
/
ATOMIC_SPECIES
Er 167.26 Er.upf
Tm 168.93 Tm.upf
Sc 44.96 Sc.upf
ATOMIC_POSITIONS crystal
Er 0.2108 0.7892 0.0000
Er 0.7892 0.2108 0.0000
Tm 0.5000 0.5000 0.5000
Sc 0.0000 0.0000 0.0000
Sc 0.1549 0.3517 0.0000
Sc 0.3177 0.6823 0.5000
Sc 0.3517 0.1549 0.0000
Sc 0.6483 0.8451 0.0000
Sc 0.6823 0.3177 0.5000
Sc 0.8451 0.6483 0.0000
CELL_PARAMETERS angstrom
3.0017 -13.4893 0.0000
3.0017 13.4893 0.0000
0.0000 0.0000 3.3126
```



Density functional theory data (GGA-PBE) for crystalline ErTm6Sc8 at its relaxed geometry. Values from VASP.

Computed properties:
Space-group type = R-3 (148)
Total magnetization = 0.01 Bohr magnetons per cell

```
&SYSTEM
  ibrav = 0, nat = 15, ntyp = 3
/
ATOMIC_SPECIES
Er 167.26 Er.upf
Tm 168.93 Tm.upf
Sc 44.96 Sc.upf
ATOMIC_POSITIONS crystal
Er 0.0000 0.0000 0.0000
Tm 0.0687 0.7339 0.4036
Tm 0.2661 0.5964 0.9313
Tm 0.4036 0.0687 0.7339
Tm 0.5964 0.9313 0.2661
Tm 0.7339 0.4036 0.0687
Tm 0.9313 0.2661 0.5964
Sc 0.1357 0.4689 0.8026
Sc 0.1974 0.8643 0.5311
Sc 0.3333 0.3333 0.3333
Sc 0.4689 0.8026 0.1357
Sc 0.5311 0.1974 0.8643
Sc 0.6667 0.6667 0.6667
Sc 0.8026 0.1357 0.4689
Sc 0.8643 0.5311 0.1974
CELL_PARAMETERS angstrom
2.9352 1.6946 13.5705
-2.9352 1.6946 13.5705
0.0000 -3.3893 13.5705
```



Density functional theory data (GGA-PBE) for crystalline ErTm6Sc2 at its relaxed geometry. Values from VASP.

Computed properties:
Space-group type = P-6m2 (187)
Polymorph energy (0 for the lowest one) = 0.000 eV/f.u.
Total magnetization = 0.00 Bohr magnetons per cell

```
&SYSTEM
  ibrav = 0, nat = 9, ntyp = 3
/
ATOMIC_SPECIES
Er 167.26 Er.upf
Tm 168.93 Tm.upf
Sc 44.96 Sc.upf
ATOMIC_POSITIONS crystal
Er 0.0000 0.0000 0.0000
Tm 0.0000 0.0000 0.2240
Tm 0.0000 0.0000 0.4329
Tm 0.0000 0.0000 0.5671
Tm 0.0000 0.0000 0.7760
Tm 0.3333 0.6667 0.1118
Tm 0.3333 0.6667 0.8882
Sc 0.3333 0.6667 0.3290
Sc 0.3333 0.6667 0.6710
CELL_PARAMETERS angstrom
3.4891 0.0000 0.0000
-1.7446 3.0217 0.0000
0.0000 0.0000 25.0481
```



Density functional theory data (GGA-PBE) for crystalline Er4TmSc2 at its relaxed geometry. Values from VASP.

Computed properties:
Space-group type = P2/m (10)
Polymorph energy (0 for the lowest one) = 0.952 eV/f.u.
Total magnetization = 0.00 Bohr magnetons per cell

```
&SYSTEM
  ibrav = 0, nat = 14, ntyp = 3
/
ATOMIC_SPECIES
Er 167.26 Er.upf
Tm 168.93 Tm.upf
Sc 44.96 Sc.upf
ATOMIC_POSITIONS crystal
Er 0.2443 0.2225 0.2226
Er 0.2443 0.7775 0.2226
Er 0.2454 0.2225 0.7772
Er 0.2454 0.7775 0.7772
Er 0.7546 0.2225 0.2228
Er 0.7546 0.7775 0.2228
Er 0.7557 0.2225 0.7774
Er 0.7557 0.7775 0.7774
Tm 0.5000 0.0000 0.5000
Tm 0.5000 0.5000 0.0000
Sc 0.0000 0.0000 0.5000
Sc 0.0000 0.5000 0.0000
Sc 0.0000 0.5000 0.5000
Sc 0.5000 0.5000 0.5000
CELL_PARAMETERS angstrom
6.9619 0.0000 0.0000
0.0000 7.7518 0.0000
-0.0097 0.0000 7.7424
```



Asked for ρ across the records above, the calculation gives 6.8, 5.9, 7.8, 5.7, 7.3, 6.4, 5.1, 6.3, 8.0, 7.4 g/cm³ in order.
Asked for ΔH_f (0 K) across the records above, the calculation gives 25, 17, 15, 1, 23, 24, 14, 4, 5, 21 kJ/mol of atoms in order.
Asked for VASP energy across the records above, the calculation gives -70.52, -37.57, -57.58, -45.04, -92.67, -56.20, -56.47, -81.49, -43.62, -67.78 eV for the cell shown in order.